Computed, not measured: a crystal of LiLu2Pt relaxed with PBEsol at the SCAN level of DFT.

Cell and atoms, written as CIF:
```
data_LiLu2Pt
_cell_length_a 4.796
_cell_length_b 4.796
_cell_length_c 4.796
_cell_angle_alpha 60.00
_cell_angle_beta 60.00
_cell_angle_gamma 60.00
_space_group_name_H-M_alt 'P 1'
_space_group_IT_number 1
loop_
_space_group_symop_operation_xyz
'x,y,z'
loop_
_atom_site_label
_atom_site_type_symbol
_atom_site_fract_x
_atom_site_fract_y
_atom_site_fract_z
_atom_site_occupancy
Li1 Li 0.500 0.500 0.500 1
Lu1 Lu 0.750 0.750 0.750 1
Pt1 Pt 0.000 0.000 0.000 1
Lu2 Lu 0.250 0.250 0.250 1
```

Its formation energy from the elements is -3.6 eV per formula unit. The value obtained for the total energy is -186.9 eV per cell. As for the symmetry: Fm-3m (225).